{"formula": "PrNdGe2Pt5", "functional": "PBE-GGA", "state": "relaxed", "density_g_cm3": 13.552, "formation_energy_mev_per_atom": -897, "cell": [[4.3537, 0.0000, 0.0000], [0.0000, 4.3537, 0.0000], [0.0000, 0.0000, 9.0876]], "species": ["Pr", "Nd", "Ge", "Ge", "Pt", "Pt", "Pt", "Pt", "Pt"], "frac_coords": [[0.0000, 0.0000, 0.0000], [0.0000, 0.0000, 0.5000], [0.5000, 0.5000, 0.1385], [0.5000, 0.5000, 0.8615], [0.0000, 0.5000, 0.2721], [0.0000, 0.5000, 0.7279], [0.5000, 0.0000, 0.2721], [0.5000, 0.0000, 0.7279], [0.5000, 0.5000, 0.5000]]}

***

{"formula": "PrNdGePt", "functional": "PBE-GGA", "state": "relaxed", "density_g_cm3": 9.260, "formation_energy_mev_per_atom": -816, "cell": [[0.0000, 3.6735, 3.6735], [3.6735, 0.0000, 3.6735], [3.6735, 3.6735, 0.0000]], "species": ["Pr", "Nd", "Ge", "Pt"], "frac_coords": [[0.0000, 0.0000, 0.0000], [0.5000, 0.5000, 0.5000], [0.7500, 0.7500, 0.7500], [0.2500, 0.2500, 0.2500]]}

***

{"formula": "PrNd2Ge4Pt3", "functional": "PBE-GGA", "state": "relaxed", "density_g_cm3": 9.936, "formation_energy_mev_per_atom": -842, "cell": [[4.3610, 0.0000, 0.0000], [0.0000, 4.3610, 0.0000], [0.0000, 0.0000, 11.4695]], "species": ["Pr", "Nd", "Nd", "Ge", "Ge", "Ge", "Ge", "Pt", "Pt", "Pt"], "frac_coords": [[0.0000, 0.0000, 0.0000], [0.0000, 0.5000, 0.7232], [0.5000, 0.0000, 0.2768], [0.0000, 0.0000, 0.5000], [0.0000, 0.5000, 0.1719], [0.5000, 0.0000, 0.8281], [0.5000, 0.5000, 0.5000], [0.0000, 0.5000, 0.3872], [0.5000, 0.0000, 0.6128], [0.5000, 0.5000, 0.0000]]}

***

{"formula": "PrNdGePt", "functional": "PBE-GGA", "state": "relaxed", "density_g_cm3": 9.038, "formation_energy_mev_per_atom": -973, "cell": [[4.3384, 0.0000, 0.0000], [0.0000, 2.0783, 5.6330], [0.0000, -2.0783, 5.6330]], "species": ["Pr", "Nd", "Ge", "Pt"], "frac_coords": [[0.0000, 0.0000, 0.0000], [0.5000, 0.2770, 0.2770], [0.5000, 0.5637, 0.5637], [0.0000, 0.7241, 0.7241]]}